(1)
Below is TaReAu2 after structural relaxation, with properties calculated at the GGA-PBE level.

formation energy from the elements: 0.177 eV/atom
SG: I-4m2 (119)

a = 4.946 Å, b = 4.946 Å, c = 4.946 Å
α = 130.99°, β = 130.99°, γ = 71.82°
Element x y z (fractional)
Au: 0.000 0.000 0.000
Au: 0.250 0.750 0.500
Ta: 0.750 0.250 0.500
Re: 0.500 0.500 0.000

---

(2)
Below is CoTeMo2 after structural relaxation, with properties calculated at the GGA-PBE level.

ΔE_f (raw): 0.4224 eV per atom
SG: Pmmm (47)

a = 3.449 Å, b = 4.048 Å, c = 4.548 Å
α = 90.00°, β = 90.00°, γ = 90.00°
Element x y z (fractional)
Co: 0.000 0.500 0.500
Mo: 0.500 0.500 0.000
Mo: 0.000 0.000 0.000
Te: 0.500 0.000 0.500

---

(3)
Below is BaY2InRh after structural relaxation, with properties calculated at the GGA-PBE level.

formation energy from the elements: -0.362 eV/atom
SG: P4/mmm (123)

a = 5.409 Å, b = 5.409 Å, c = 5.403 Å
α = 90.00°, β = 90.00°, γ = 90.00°
Element x y z (fractional)
In: 0.000 0.000 0.500
Ba: 0.500 0.500 0.500
Rh: 0.000 0.000 0.000
Y: 0.500 0.000 0.000
Y: 0.000 0.500 0.000

---

(4)
Below is KNpTaO6 after structural relaxation, with properties calculated at the GGA-PBE level.

ΔE_f (raw): -2.6921 eV per atom
SG: Imma (74)

a = 7.471 Å, b = 7.828 Å, c = 7.627 Å
α = 120.87°, β = 119.32°, γ = 90.00°
Each line ends with the local moment (μB).
Element x y z (fractional)
O: 0.192 0.942 0.384  -0.01
O: 0.429 0.058 0.249  -0.04
O: 0.573 0.323 0.145  -0.06
O: 0.821 0.058 0.249  -0.04
O: 0.821 0.692 0.249  -0.04
O: 0.427 0.677 0.855  -0.06
O: 0.429 0.692 0.249  -0.04
O: 0.571 0.942 0.751  -0.04
O: 0.571 0.308 0.751  -0.04
O: 0.179 0.308 0.751  -0.04
O: 0.179 0.942 0.751  -0.04
O: 0.808 0.058 0.616  -0.01
Ta: 0.500 0.000 0.500  -0.01
Ta: 0.000 0.000 0.500  -0.01
Np: 0.500 0.500 0.000  1.22
Np: 0.500 0.000 0.000  1.22
K: 0.090 0.340 0.180  0.00
K: 0.910 0.660 0.820  0.00

---

(5)
Below is VAgS2 after structural relaxation, with properties calculated at the GGA-PBE level.

ΔE_f (raw): -0.4536 eV per atom
SG: Pnma (62)

a = 7.070 Å, b = 3.755 Å, c = 13.100 Å
α = 90.00°, β = 90.00°, γ = 90.00°
Element x y z (fractional)
S: 0.659 0.250 0.781
S: 0.223 0.750 0.487
S: 0.723 0.750 0.013
S: 0.777 0.250 0.513
S: 0.841 0.750 0.281
S: 0.159 0.250 0.719
S: 0.341 0.750 0.219
S: 0.277 0.250 0.987
Ag: 0.387 0.750 0.795
Ag: 0.887 0.750 0.705
Ag: 0.113 0.250 0.295
Ag: 0.613 0.250 0.205
V: 0.094 0.250 0.555
V: 0.906 0.750 0.445
V: 0.406 0.750 0.055
V: 0.594 0.250 0.945

---

(6)
Below is SmNiSnPt3 after structural relaxation, with properties calculated at the GGA-PBE level.

formation energy from the elements: -0.504 eV/atom
SG: Cmcm (63)

a = 6.010 Å, b = 5.718 Å, c = 7.145 Å
α = 113.59°, β = 90.00°, γ = 90.00°
Element x y z (fractional)
Sm: 0.250 0.689 0.377
Sm: 0.750 0.311 0.623
Sn: 0.250 0.366 0.732
Sn: 0.750 0.634 0.268
Pt: 0.750 0.837 0.673
Pt: 0.000 0.756 0.000
Pt: 0.500 0.244 0.000
Pt: 0.500 0.756 0.000
Pt: 0.250 0.163 0.327
Pt: 0.000 0.244 0.000
Ni: 0.250 0.885 0.770
Ni: 0.750 0.115 0.230

---

no.,total energy (eV/atom)
1,-7.536
2,-7.555
3,-5.351
4,-8.874
5,-5.510
6,-5.942